Pm2C2ClO6 | PBE | optimized geometry

Results
Its formation energy without anion corrections is -2089 meV per atom. The calculation puts the total magnetic moment at 0.00 μB/f.u. Its calculated density is 4.470 Mg/m³.

Structure (CIF):
```
data_Pm2C2ClO6
_space_group_name_H-M_alt 'P -1'
_space_group_IT_number 2
_cell_length_a 5.425
_cell_length_b 5.933
_cell_length_c 6.529
_cell_angle_alpha 65.46
_cell_angle_beta 89.94
_cell_angle_gamma 62.88
loop_
_space_group_symop_operation_xyz
'x,y,z'
'-x,-y,-z'
loop_
_atom_site_label
_atom_site_type_symbol
_atom_site_fract_x
_atom_site_fract_y
_atom_site_fract_z
_atom_site_occupancy
Pm1 Pm 0.149 0.204 0.263 1
C1 C 0.155 0.191 0.718 1
Cl1 Cl 0.500 0.500 0.000 1
O1 O 0.036 0.835 0.379 1
O2 O 0.125 0.250 0.888 1
O3 O 0.371 0.166 0.621 1
```